w | This record from Alexandria describes a relaxed CeNdRu crystal. The functional is PBE-GGA.

```
data_CeNdRu
_space_group_name_H-M_alt 'P 1 21/c 1'
_space_group_IT_number 14
_space_group_name_Hall '-P 2ybc'
_cell_length_a 6.6848
_cell_length_b 7.0910
_cell_length_c 7.7445
_cell_angle_alpha 90.00
_cell_angle_beta 119.34
_cell_angle_gamma 90.00
loop_
_atom_site_label
_atom_site_type_symbol
_atom_site_fract_x
_atom_site_fract_y
_atom_site_fract_z
Ce1 Ce 0.2380 0.1758 0.4085
Nd1 Nd 0.2700 0.6635 0.5660
Ru1 Ru 0.1991 0.0476 0.6926
```

Density (Mg/m³): 8.0



x | This record from Alexandria describes a relaxed CeNdRu crystal. The functional is PBE-GGA.

```
data_CeNdRu
_space_group_name_H-M_alt 'P -1'
_space_group_IT_number 2
_space_group_name_Hall '-P 1'
_cell_length_a 4.5893
_cell_length_b 4.6653
_cell_length_c 7.3640
_cell_angle_alpha 90.39
_cell_angle_beta 93.52
_cell_angle_gamma 92.78
loop_
_atom_site_label
_atom_site_type_symbol
_atom_site_fract_x
_atom_site_fract_y
_atom_site_fract_z
Ce1 Ce 0.2439 0.2378 0.0161
Nd1 Nd 0.2427 0.7496 0.3803
Ru1 Ru 0.3474 0.7181 0.7728
```

Density (Mg/m³): 8.1



Stability, lowest: x